Pr2Sm3TmBi6, relaxed, DFT GGA-PBE; crystal system = monoclinic; volume = 404.0 Å³ per cell; ρ = 8.9 g cm⁻³; D(E_F) = 2.052 states/eV/f.u.; formation enthalpy at 0 K = -0.91 eV/atom; space-group type = No. 12
1.0
-3.736 -2.527 0.730
4.159 -4.124 7.007
-2.584 9.075 3.895
Pr Sm Bi Tm
2 3 6 1
Direct
0.834 0.668 0.669
0.166 0.332 0.331
0.169 0.834 0.337
0.831 0.166 0.663
0.500 0.500 0.000
0.002 0.757 0.005
0.998 0.243 0.995
0.666 0.586 0.331
0.334 0.414 0.669
0.664 0.078 0.328
0.336 0.922 0.672
0.500 0.000 0.000

---

HoMg2Au4, relaxed, DFT GGA-PBE; crystal system = orthorhombic; volume = 150.0 Å³ per cell; ρ = 11.1 g cm⁻³; D(E_F) = 3.049 states/eV/f.u.; formation enthalpy at 0 K = -0.55 eV/atom; space-group type = No. 69
1.0
4.366 0.013 -1.396
-0.430 4.345 -1.396
0.088 0.097 7.845
Ho Au Mg
1 4 2
Direct
0.000 0.000 0.000
0.134 0.634 0.267
0.366 0.866 0.733
0.634 0.134 0.267
0.866 0.366 0.733
0.744 0.744 0.488
0.256 0.256 0.512

---

PmScGe2Pd5, relaxed, DFT GGA-PBE; crystal system = tetragonal; volume = 162.0 Å³ per cell; ρ = 8.9 g cm⁻³; D(E_F) = 3.738 states/eV/f.u.; formation enthalpy at 0 K = -0.72 eV/atom; space-group type = No. 123
1.0
-2.165 -0.326 -3.581
-3.544 -0.515 2.189
-1.335 9.098 -0.020
Sc Ge Pd Pm
1 2 5 1
Direct
0.000 0.000 0.000
0.500 0.500 0.130
0.500 0.500 0.870
0.000 0.500 0.269
0.500 0.000 0.269
0.500 0.500 0.500
0.000 0.500 0.731
0.500 0.000 0.731
0.000 0.000 0.500

---

SrCu2Hg2, relaxed, DFT GGA-PBE; crystal system = tetragonal; volume = 212.5 Å³ per cell; ρ = 9.6 g cm⁻³; D(E_F) = 1.400 states/eV/f.u.; formation enthalpy at 0 K = 0.00 eV/atom; space-group type = No. 127
1.0
-6.752 -4.065 -0.136
4.066 -6.753 -0.017
-0.047 -0.037 3.420
Hg Sr Cu
4 2 4
Direct
0.329 0.171 0.500
0.171 0.671 0.500
0.829 0.329 0.500
0.671 0.829 0.500
0.500 0.500 0.000
0.000 0.000 0.000
0.614 0.114 0.000
0.886 0.614 0.000
0.114 0.386 0.000
0.386 0.886 0.000

---

LiTb5In4, relaxed, DFT GGA-PBE; crystal system = tetragonal; volume = 265.3 Å³ per cell; ρ = 7.9 g cm⁻³; D(E_F) = 5.054 states/eV/f.u.; formation enthalpy at 0 K = -0.37 eV/atom; space-group type = No. 123
1.0
3.622 0.000 0.000
0.000 3.622 0.000
0.000 0.000 20.225
In Tb Li
4 5 1
Direct
0.000 0.000 0.602
0.000 0.000 0.192
0.000 0.000 0.398
0.000 0.000 0.808
0.500 0.500 0.096
0.500 0.500 0.904
0.500 0.500 0.500
0.500 0.500 0.296
0.500 0.500 0.704
0.000 0.000 0.000

---

HoNiC2, relaxed, DFT GGA-PBE; crystal system = orthorhombic; volume = 48.2 Å³ per cell; ρ = 8.5 g cm⁻³; D(E_F) = 1.301 states/eV/f.u.; formation enthalpy at 0 K = -0.34 eV/atom; space-group type = No. 38
1.0
-1.939 2.038 -2.482
-2.509 -2.189 1.729
-0.502 2.521 2.462
C Ni Ho
2 1 1
Direct
0.546 0.149 0.500
0.851 0.454 0.500
0.388 0.612 0.500
0.999 0.001 0.000

---

PuIn2Pd5, relaxed, DFT GGA-PBE; crystal system = orthorhombic; volume = 147.7 Å³ per cell; ρ = 11.3 g cm⁻³; D(E_F) = 12.133 states/eV/f.u.; formation enthalpy at 0 K = -0.36 eV/atom; space-group type = No. 71
1.0
3.058 0.000 0.000
1.529 7.105 0.434
1.529 1.732 6.904
Pd In Pu
5 2 1
Direct
0.375 0.860 0.390
0.625 0.140 0.610
0.375 0.390 0.860
0.625 0.610 0.140
0.000 0.500 0.500
0.763 0.737 0.737
0.237 0.263 0.263
0.000 0.000 0.000

---

YPb2Se, relaxed, DFT GGA-PBE; crystal system = tetragonal; volume = 117.1 Å³ per cell; ρ = 8.3 g cm⁻³; D(E_F) = 1.064 states/eV/f.u.; E_form (uncorrected) = -0.425 eV/atom; space-group type = No. 123
1.0
4.482 0.000 0.000
0.000 4.482 0.000
0.000 0.000 5.829
Se Pb Y
1 2 1
Direct
0.500 0.500 0.250
0.000 0.000 0.997
0.000 0.000 0.503
0.500 0.500 0.750

---

Na2CuIr2Se6, relaxed, DFT GGA-PBE; crystal system = monoclinic; volume = 253.6 Å³ per cell; ρ = 6.3 g cm⁻³; D(E_F) = 7.180 states/eV/f.u.; E_form (uncorrected) = -0.418 eV/atom; space-group type = No. 12
1.0
6.607 -0.066 0.058
-3.323 5.711 0.058
-1.175 -2.020 6.717
Se Na Ir Cu
6 2 2 1
Direct
0.266 0.266 0.324
0.594 0.940 0.310
0.406 0.060 0.690
0.060 0.406 0.690
0.940 0.594 0.310
0.734 0.734 0.676
0.161 0.839 0.000
0.839 0.161 0.000
0.331 0.669 0.500
0.669 0.331 0.500
0.000 0.000 0.500

---

Ac2AlCu6Rh, relaxed, DFT GGA-PBE; crystal system = triclinic; volume = 194.0 Å³ per cell; ρ = 8.3 g cm⁻³; D(E_F) = 5.455 states/eV/f.u.; formation enthalpy at 0 K = -0.22 eV/atom; space-group type = No. 2
1.0
6.459 -0.262 -1.251
-0.292 6.745 1.491
2.192 4.290 4.969
Ac Cu Rh Al
2 6 1 1
Direct
0.771 0.222 0.452
0.229 0.778 0.548
0.421 0.251 0.830
0.741 0.234 0.985
0.579 0.749 0.170
0.259 0.766 0.015
0.741 0.728 0.491
0.259 0.272 0.509
0.500 0.500 0.000
0.000 0.000 0.000

---

MgPd14Rh, relaxed, DFT GGA-PBE; crystal system = orthorhombic; volume = 245.3 Å³ per cell; ρ = 10.9 g cm⁻³; D(E_F) = 32.063 states/eV/f.u.; formation enthalpy at 0 K = -0.09 eV/atom; space-group type = No. 38
1.0
5.543 -0.315 0.000
-2.462 4.976 0.000
0.000 0.000 9.152
Pd Mg Rh
14 1 1
Direct
0.206 0.294 0.000
0.706 0.294 0.000
0.875 0.125 0.251
0.375 0.126 0.746
0.376 0.624 0.253
0.045 0.455 0.500
0.376 0.624 0.747
0.375 0.126 0.254
0.706 0.794 0.000
0.874 0.625 0.254
0.206 0.794 0.000
0.874 0.625 0.746
0.875 0.125 0.749
0.545 0.955 0.500
0.044 0.956 0.500
0.543 0.457 0.500

---

P4S6O3, relaxed, DFT GGA-PBE; crystal system = monoclinic; volume = 701.5 Å³ per cell; ρ = 1.7 g cm⁻³; D(E_F) = 0.000 states/eV/f.u.; E_form (uncorrected) = -0.746 eV/atom; space-group type = No. 11
1.0
-4.023 12.568 -0.514
-5.753 -1.980 -3.383
-5.283 -1.459 5.681
P O S
8 6 12
Direct
0.863 0.180 0.178
0.750 0.808 0.046
0.137 0.820 0.822
0.637 0.180 0.178
0.750 0.295 0.841
0.250 0.192 0.954
0.363 0.820 0.822
0.250 0.705 0.159
0.750 0.199 0.259
0.154 0.703 0.029
0.346 0.703 0.029
0.846 0.297 0.971
0.654 0.297 0.971
0.250 0.801 0.741
0.031 0.718 0.711
0.379 0.120 0.818
0.750 0.013 0.793
0.250 0.987 0.207
0.469 0.718 0.711
0.750 0.507 0.635
0.531 0.282 0.289
0.879 0.880 0.182
0.621 0.880 0.182
0.250 0.493 0.365
0.121 0.120 0.818
0.969 0.282 0.289